1.
## YHg2Se (PBE-GGA)

Data for a geometry-optimized YHg2Se structure.

abc: 4.0001 3.8771 7.5951
angles: 90.00 104.09 90.00
Space group Pm (No. 6)
Unique sites:
Y1 0.0000 0.0000 0.0000 (multiplicity 1)
Hg1 0.2150 0.0000 0.4337 (multiplicity 1)
Hg2 0.8176 0.5000 0.6500 (multiplicity 1)
Se1 0.5336 0.5000 0.0716 (multiplicity 1)

Results
The value obtained for the raw total energy is -3.3923 eV/atom. Its density of states at the Fermi level is 1.8 states/eV per cell.

=====

2.
## YHgSe (PBE-GGA)

Data for a geometry-optimized YHgSe structure.

abc: 3.6688 3.6688 12.6857
angles: 90.00 90.00 90.00
Space group I4mm (No. 107)
Unique sites:
Y1 0.0000 0.0000 0.0000 (multiplicity 2)
Hg1 0.0000 0.0000 0.6680 (multiplicity 2)
Se1 0.0000 0.0000 0.4038 (multiplicity 2)

Results
The value obtained for the raw total energy is -4.3557 eV/atom. Its density of states at the Fermi level is 2.5 states/eV per cell. The calculation puts the offset from the most stable computed form at 0.0 meV per atom.

=====

3.
## YHg2Se (PBE-GGA)

Data for a geometry-optimized YHg2Se structure.

abc: 9.7282 4.0378 5.9347
angles: 90.00 112.19 90.00
Space group Cm (No. 8)
Unique sites:
Y1 0.0000 0.0000 0.0000 (multiplicity 2)
Hg1 0.0038 0.5000 0.5864 (multiplicity 2)
Hg2 0.2471 0.5000 0.3992 (multiplicity 2)
Se1 0.2984 0.0000 0.0022 (multiplicity 2)

Results
The value obtained for the raw total energy is -3.3132 eV/atom. Its density of states at the Fermi level is 4.0 states/eV per cell.

=====

In order of appearance, calculated volume = 114.25 170.75 215.85 Å³/cell.
In order of appearance, formation energy without anion corrections = -0.754 -0.939 -0.675 eV per atom.